The following is a DFT calculation (PBE) of crystalline Nd2HfAl at its relaxed geometry.

Cell: 3.279 3.279 35.120 Å, 90.00 90.00 120.00°
Sites, in units of the cell vectors:
Nd 0.000 0.000 0.093
Nd 0.000 0.000 0.907
Nd 0.333 0.667 0.574
Nd 0.333 0.667 0.759
Nd 0.667 0.333 0.241
Nd 0.667 0.333 0.426
Hf 0.000 0.000 0.000
Hf 0.333 0.667 0.667
Hf 0.667 0.333 0.333
Al 0.000 0.000 0.500
Al 0.333 0.667 0.167
Al 0.667 0.333 0.833

Values from the calculation:
theoretical density = 7.523 g/cm3
space-group type = R-3m, No. 166
offset from the most stable computed form = 0.379 eV per atom
E_form = 0.344 eV per atom